# 1
# NdTaIr | Alexandria via LeMat-Bulk | PBE-GGA | relaxed
# Energy relative to the elements: -49 kJ per mole of atoms
# Total magnetic moment: 0.0 Bohr magnetons per cell
# Calculated total energy: -9.00 eV/atom
data_NdTaIr
_symmetry_space_group_name_H-M 'P 4/n m m'
_symmetry_Int_Tables_number 129
_cell_length_a 4.554
_cell_length_b 4.554
_cell_length_c 6.781
_cell_angle_alpha 90.00
_cell_angle_beta 90.00
_cell_angle_gamma 90.00
loop_
_symmetry_equiv_pos_as_xyz
'x,y,z'
'-x,-y,-z'
'-y+1/2,x,z'
'y+1/2,-x,-z'
'-x+1/2,-y+1/2,z'
'x+1/2,y+1/2,-z'
'y,-x+1/2,z'
'-y,x+1/2,-z'
'x+1/2,-y,-z'
'-x+1/2,y,z'
'-y,-x,-z'
'y,x,z'
'-x,y+1/2,-z'
'x,-y+1/2,z'
'y+1/2,x+1/2,-z'
'-y+1/2,-x+1/2,z'
loop_
_atom_site_label
_atom_site_type_symbol
_atom_site_fract_x
_atom_site_fract_y
_atom_site_fract_z
Nd1 Nd 0.250 0.250 0.131
Ta1 Ta 0.250 0.750 0.500
Ir1 Ir 0.250 0.250 0.685

---

# 2
# ReTc2Sb | Alexandria via LeMat-Bulk | PBE-GGA | relaxed
# Formation energy without anion corrections: 394 meV/atom
# Total magnetic moment: 5.9 Bohr magnetons per cell
# Calculated total energy: -8.93 eV/atom
data_ReTc2Sb
_symmetry_space_group_name_H-M 'F -4 3 m'
_symmetry_Int_Tables_number 216
_symmetry_space_group_name_Hall 'F -4 2 3'
_cell_length_a 6.358
_cell_length_b 6.358
_cell_length_c 6.358
_cell_angle_alpha 90.00
_cell_angle_beta 90.00
_cell_angle_gamma 90.00
loop_
_atom_site_label
_atom_site_type_symbol
_atom_site_fract_x
_atom_site_fract_y
_atom_site_fract_z
Re1 Re 0.000 0.000 0.000
Tc1 Tc 0.000 0.000 0.500
Tc2 Tc 0.250 0.250 0.750
Sb1 Sb 0.250 0.250 0.250

---

# 3
# NaGa2Bi | Alexandria via LeMat-Bulk | PBE-GGA | relaxed
# Energy relative to the elements: 4 kJ per mole of atoms
# Total magnetic moment: 0.0 Bohr magnetons per cell
# Calculated total energy: -2.77 eV/atom
data_NaGa2Bi
_symmetry_space_group_name_H-M 'I -4 2 d'
_symmetry_Int_Tables_number 122
_symmetry_space_group_name_Hall 'I -4 2bw'
_cell_length_a 8.597
_cell_length_b 8.597
_cell_length_c 5.950
_cell_angle_alpha 90.00
_cell_angle_beta 90.00
_cell_angle_gamma 90.00
loop_
_atom_site_label
_atom_site_type_symbol
_atom_site_fract_x
_atom_site_fract_y
_atom_site_fract_z
Na1 Na 0.000 0.000 0.000
Ga1 Ga 0.215 0.250 0.625
Bi1 Bi 0.000 0.000 0.500

---

# 4
# PuInTe2 | Alexandria via LeMat-Bulk | PBE-GGA | relaxed
# Formation energy without anion corrections: -625 meV/atom
# Total magnetic moment: 15.5 Bohr magnetons per cell
# Calculated total energy: -6.46 eV/atom
data_PuInTe2
_symmetry_space_group_name_H-M 'R 3 m'
_symmetry_Int_Tables_number 160
_symmetry_space_group_name_Hall 'R 3 -2"'
_cell_length_a 4.3368
_cell_length_b 4.3368
_cell_length_c 25.0003
_cell_angle_alpha 90.00
_cell_angle_beta 90.00
_cell_angle_gamma 120.00
loop_
_atom_site_label
_atom_site_type_symbol
_atom_site_fract_x
_atom_site_fract_y
_atom_site_fract_z
Pu1 Pu 0.0000 0.0000 0.0000
In1 In 0.0000 0.0000 0.8324
Te1 Te 0.0000 0.0000 0.2563
Te2 Te 0.0000 0.0000 0.4098

---

# 5
# ZrAsRu2 | Alexandria via LeMat-Bulk | PBE-GGA | relaxed
# Energy relative to the elements: -26 kJ per mole of atoms
# Total magnetic moment: 0.0 Bohr magnetons per cell
# Calculated total energy: -8.21 eV/atom
data_ZrAsRu2
_symmetry_space_group_name_H-M 'P 1 2/m 1'
_symmetry_Int_Tables_number 10
_symmetry_space_group_name_Hall '-P 2y'
_cell_length_a 4.404
_cell_length_b 3.167
_cell_length_c 4.920
_cell_angle_alpha 90.00
_cell_angle_beta 109.58
_cell_angle_gamma 90.00
loop_
_atom_site_label
_atom_site_type_symbol
_atom_site_fract_x
_atom_site_fract_y
_atom_site_fract_z
Zr1 Zr 0.000 0.000 0.000
As1 As 0.000 0.500 0.500
Ru1 Ru 0.500 0.000 0.500
Ru2 Ru 0.500 0.500 0.000

---

# 6
# Sr3Pd2 | Alexandria via LeMat-Bulk | PBE-GGA | relaxed
# Energy relative to the elements: -49 kJ per mole of atoms
# Total magnetic moment: 0.0 Bohr magnetons per cell
# Calculated total energy: -3.60 eV/atom
# Energy above the most stable polymorph in this dataset: 0 meV per atom
data_Sr3Pd2
_symmetry_space_group_name_H-M 'P 4/m b m'
_symmetry_Int_Tables_number 127
_symmetry_space_group_name_Hall '-P 4 2ab'
_cell_length_a 8.217
_cell_length_b 8.217
_cell_length_c 4.525
_cell_angle_alpha 90.00
_cell_angle_beta 90.00
_cell_angle_gamma 90.00
loop_
_atom_site_label
_atom_site_type_symbol
_atom_site_fract_x
_atom_site_fract_y
_atom_site_fract_z
Sr1 Sr 0.000 0.000 0.000
Sr2 Sr 0.161 0.339 0.500
Pd1 Pd 0.123 0.623 0.000